# Cs2TiTeO6 (PBE, optimized geometry)
data_Cs2TiTeO6
_cell_length_a 10.2177
_cell_length_b 10.2177
_cell_length_c 10.2177
_cell_angle_alpha 34.82
_cell_angle_beta 34.82
_cell_angle_gamma 34.82
_symmetry_space_group_name_H-M 'P 1'
_symmetry_Int_Tables_number 1
_symmetry_space_group_name_Hall 'P 1'
loop_
_atom_site_label
_atom_site_type_symbol
_atom_site_fract_x
_atom_site_fract_y
_atom_site_fract_z
Cs1 Cs 0.1317 0.1317 0.1317
Cs2 Cs 0.2802 0.2802 0.2802
Cs3 Cs 0.7198 0.7198 0.7198
Cs4 Cs 0.8683 0.8683 0.8683
Ti1 Ti 0.4030 0.4030 0.4030
Ti2 Ti 0.5970 0.5970 0.5970
Te1 Te 0.0000 0.0000 0.0000
Te2 Te 0.5000 0.5000 0.5000
O1 O 0.1804 0.5914 0.5914
O2 O 0.1998 0.1998 0.7137
O3 O 0.1998 0.7137 0.1998
O4 O 0.2863 0.8002 0.8002
O5 O 0.4086 0.4086 0.8196
O6 O 0.4086 0.8196 0.4086
O7 O 0.5914 0.1804 0.5914
O8 O 0.5914 0.5914 0.1804
O9 O 0.7137 0.1998 0.1998
O10 O 0.8002 0.2863 0.8002
O11 O 0.8002 0.8002 0.2863
O12 O 0.8196 0.4086 0.4086
# **Crystal system**: trigonal
# **E_tot**: -5.98 eV per atom
# **M_tot**: 0.0 μB/cell

---

# Cs2TlTe2O6 (PBE, optimized geometry)
data_Cs2TlTe2O6
_cell_length_a 6.5326
_cell_length_b 6.5326
_cell_length_c 7.6889
_cell_angle_alpha 115.38
_cell_angle_beta 115.38
_cell_angle_gamma 59.96
_symmetry_space_group_name_H-M 'P 1'
_symmetry_Int_Tables_number 1
_symmetry_space_group_name_Hall 'P 1'
loop_
_atom_site_label
_atom_site_type_symbol
_atom_site_fract_x
_atom_site_fract_y
_atom_site_fract_z
Cs1 Cs 0.1059 0.1059 0.3197
Cs2 Cs 0.8941 0.8941 0.6803
Tl1 Tl 0.5000 0.5000 0.5000
Te1 Te 0.2935 0.2935 0.8775
Te2 Te 0.7065 0.7065 0.1225
O1 O 0.0492 0.5998 0.2524
O2 O 0.4003 0.4003 0.7492
O3 O 0.4002 0.9508 0.7476
O4 O 0.5998 0.0492 0.2524
O5 O 0.5997 0.5997 0.2508
O6 O 0.9508 0.4002 0.7476
# **Crystal system**: monoclinic
# **E_tot**: -4.79 eV per atom
# **M_tot**: 0.0 μB/cell

---

# Cs2TlTeO4 (PBE, optimized geometry)
data_Cs2TlTeO4
_cell_length_a 7.4612
_cell_length_b 7.4612
_cell_length_c 7.8252
_cell_angle_alpha 116.13
_cell_angle_beta 116.13
_cell_angle_gamma 83.33
_symmetry_space_group_name_H-M 'P 1'
_symmetry_Int_Tables_number 1
_symmetry_space_group_name_Hall 'P 1'
loop_
_atom_site_label
_atom_site_type_symbol
_atom_site_fract_x
_atom_site_fract_y
_atom_site_fract_z
Cs1 Cs 0.0000 0.0000 0.0000
Cs2 Cs 0.0000 0.0000 0.5000
Cs3 Cs 0.0000 0.5000 0.0000
Cs4 Cs 0.5000 0.0000 0.5000
Tl1 Tl 0.5000 0.5000 0.0000
Tl2 Tl 0.5000 0.5000 0.5000
Te1 Te 0.0000 0.5000 0.5000
Te2 Te 0.5000 0.0000 0.0000
O1 O 0.2034 0.6421 0.4595
O2 O 0.2557 0.3652 0.6546
O3 O 0.3579 0.7966 0.0405
O4 O 0.3652 0.2557 0.1546
O5 O 0.6348 0.7443 0.8454
O6 O 0.6421 0.2034 0.9595
O7 O 0.7443 0.6348 0.3454
O8 O 0.7966 0.3579 0.5405
# **Crystal system**: monoclinic
# **E_tot**: -4.24 eV per atom
# **M_tot**: 0.0 μB/cell

---

# Cs2TlTeO (PBE, optimized geometry)
data_Cs2TlTeO
_cell_length_a 6.4124
_cell_length_b 6.4124
_cell_length_c 4.6729
_cell_angle_alpha 90.00
_cell_angle_beta 90.00
_cell_angle_gamma 90.00
_symmetry_space_group_name_H-M 'P 1'
_symmetry_Int_Tables_number 1
_symmetry_space_group_name_Hall 'P 1'
loop_
_atom_site_label
_atom_site_type_symbol
_atom_site_fract_x
_atom_site_fract_y
_atom_site_fract_z
Cs1 Cs 0.0000 0.5000 0.0000
Cs2 Cs 0.5000 0.0000 0.0000
Tl1 Tl 0.0000 0.0000 0.5000
Te1 Te 0.5000 0.5000 0.5000
O1 O 0.0000 0.0000 0.0000
# **Crystal system**: tetragonal
# **E_tot**: -3.19 eV per atom
# **M_tot**: 0.3 μB/cell

---

# Cs2TlTeO6 (PBE, optimized geometry)
data_Cs2TlTeO6
_cell_length_a 6.7662
_cell_length_b 6.7662
_cell_length_c 5.8792
_cell_angle_alpha 90.00
_cell_angle_beta 90.00
_cell_angle_gamma 120.00
_symmetry_space_group_name_H-M 'P 1'
_symmetry_Int_Tables_number 1
_symmetry_space_group_name_Hall 'P 1'
loop_
_atom_site_label
_atom_site_type_symbol
_atom_site_fract_x
_atom_site_fract_y
_atom_site_fract_z
Cs1 Cs 0.3333 0.6667 0.3314
Cs2 Cs 0.6667 0.3333 0.6686
Tl1 Tl 0.0000 0.0000 0.0000
Te1 Te 0.0000 0.0000 0.5000
O1 O 0.1327 0.2653 0.7049
O2 O 0.1327 0.8673 0.7049
O3 O 0.2653 0.1327 0.2951
O4 O 0.7347 0.8673 0.7049
O5 O 0.8673 0.1327 0.2951
O6 O 0.8673 0.7347 0.2951
# **Crystal system**: trigonal
# **E_tot**: -4.73 eV per atom
# **M_tot**: 1.1 μB/cell

---

# Cs3TlTe2O9 (PBE, optimized geometry)
data_Cs3TlTe2O9
_cell_length_a 6.1093
_cell_length_b 6.1093
_cell_length_c 7.5204
_cell_angle_alpha 90.00
_cell_angle_beta 90.00
_cell_angle_gamma 120.00
_symmetry_space_group_name_H-M 'P 1'
_symmetry_Int_Tables_number 1
_symmetry_space_group_name_Hall 'P 1'
loop_
_atom_site_label
_atom_site_type_symbol
_atom_site_fract_x
_atom_site_fract_y
_atom_site_fract_z
Cs1 Cs 0.0000 0.0000 0.0000
Cs2 Cs 0.3333 0.6667 0.6615
Cs3 Cs 0.6667 0.3333 0.3385
Tl1 Tl 0.0000 0.0000 0.5000
Te1 Te 0.3333 0.6667 0.1657
Te2 Te 0.6667 0.3333 0.8343
O1 O 0.0000 0.5000 0.0000
O2 O 0.1808 0.3616 0.3081
O3 O 0.1808 0.8192 0.3081
O4 O 0.3616 0.1808 0.6919
O5 O 0.5000 0.0000 0.0000
O6 O 0.5000 0.5000 0.0000
O7 O 0.6384 0.8192 0.3081
O8 O 0.8192 0.1808 0.6919
O9 O 0.8192 0.6384 0.6919
# **Crystal system**: trigonal
# **E_tot**: -4.68 eV per atom
# **M_tot**: 0.6 μB/cell

---

# CsTl2TeO6 (PBE, optimized geometry)
data_CsTl2TeO6
_cell_length_a 7.8229
_cell_length_b 7.8229
_cell_length_c 7.8229
_cell_angle_alpha 43.97
_cell_angle_beta 43.97
_cell_angle_gamma 43.97
_symmetry_space_group_name_H-M 'P 1'
_symmetry_Int_Tables_number 1
_symmetry_space_group_name_Hall 'P 1'
loop_
_atom_site_label
_atom_site_type_symbol
_atom_site_fract_x
_atom_site_fract_y
_atom_site_fract_z
Cs1 Cs 0.0000 0.0000 0.0000
Tl1 Tl 0.1828 0.1828 0.1828
Tl2 Tl 0.8172 0.8172 0.8172
Te1 Te 0.5000 0.5000 0.5000
O1 O 0.1730 0.7418 0.4291
O2 O 0.2582 0.5709 0.8270
O3 O 0.4291 0.1730 0.7418
O4 O 0.5709 0.8270 0.2582
O5 O 0.7418 0.4291 0.1730
O6 O 0.8270 0.2582 0.5709
# **Crystal system**: trigonal
# **E_tot**: -4.81 eV per atom
# **M_tot**: 0.0 μB/cell

---

# Cs3TmTe2O9 (PBE, optimized geometry)
data_Cs3TmTe2O9
_cell_length_a 6.0364
_cell_length_b 6.0364
_cell_length_c 7.3872
_cell_angle_alpha 90.00
_cell_angle_beta 90.00
_cell_angle_gamma 120.00
_symmetry_space_group_name_H-M 'P 1'
_symmetry_Int_Tables_number 1
_symmetry_space_group_name_Hall 'P 1'
loop_
_atom_site_label
_atom_site_type_symbol
_atom_site_fract_x
_atom_site_fract_y
_atom_site_fract_z
Cs1 Cs 0.0000 0.0000 0.0000
Cs2 Cs 0.3333 0.6667 0.6687
Cs3 Cs 0.6667 0.3333 0.3313
Tm1 Tm 0.0000 0.0000 0.5000
Te1 Te 0.3333 0.6667 0.1739
Te2 Te 0.6667 0.3333 0.8261
O1 O 0.0000 0.5000 0.0000
O2 O 0.1788 0.3576 0.3181
O3 O 0.1788 0.8212 0.3181
O4 O 0.3576 0.1788 0.6819
O5 O 0.5000 0.0000 0.0000
O6 O 0.5000 0.5000 0.0000
O7 O 0.6424 0.8212 0.3181
O8 O 0.8212 0.1788 0.6819
O9 O 0.8212 0.6424 0.6819
# **Crystal system**: trigonal
# **E_tot**: -5.36 eV per atom
# **M_tot**: 0.0 μB/cell